{"formula": "CuSn2Au2", "functional": "PBE", "state": "relaxed", "lattice_angstrom": [[-1.2808, -6.7063, -2.0516], [5.6097, -2.2313, 3.7916], [-2.4708, -0.5478, 3.3332]], "species": ["Sn", "Sn", "Sn", "Sn", "Au", "Au", "Au", "Au", "Cu", "Cu"], "frac_coords": [[0.3349, 0.1651, 0.5000], [0.8349, 0.3349, 0.5000], [0.6651, 0.8349, 0.5000], [0.1651, 0.6651, 0.5000], [0.8525, 0.6475, 0.0000], [0.6475, 0.1475, 0.0000], [0.3525, 0.8525, 0.0000], [0.1475, 0.3525, 0.0000], [0.0000, 0.0000, 0.0000], [0.5000, 0.5000, 0.0000]], "formation_energy_mev_per_atom": 28, "e_above_lowest_polymorph_mev_per_atom": 67.9, "dos_ef_per_ev_atom": 0.4026, "m_tot_mub_per_atom": 0.00}



{"formula": "CuSnAu2", "functional": "PBE", "state": "relaxed", "lattice_angstrom": [[-2.6149, -2.9794, 1.8708], [-2.8474, -2.2621, -2.4472], [1.4497, -5.0753, -0.9211]], "species": ["Au", "Au", "Sn", "Cu"], "frac_coords": [[0.0624, 0.0624, 0.8128], [0.2727, 0.2727, 0.1820], [0.4882, 0.4882, 0.5355], [0.6767, 0.6767, 0.9698]], "formation_energy_mev_per_atom": -35, "dos_ef_per_ev_atom": 0.1947, "m_tot_mub_per_atom": 0.00}



{"formula": "Cu8SnAu4", "functional": "PBE", "state": "relaxed", "lattice_angstrom": [[4.2801, 0.0000, 0.0000], [0.0000, 2.9921, 0.0000], [0.0000, 0.0000, 15.5733]], "species": ["Au", "Au", "Au", "Au", "Cu", "Cu", "Cu", "Cu", "Cu", "Cu", "Cu", "Cu", "Sn"], "frac_coords": [[0.5000, 0.5000, 0.4475], [0.0000, 0.5000, 0.6393], [0.0000, 0.0000, 0.0533], [0.5000, 0.0000, 0.8901], [0.0000, 0.0000, 0.7800], [0.5000, 0.5000, 0.0406], [0.0000, 0.5000, 0.1912], [0.5000, 0.0000, 0.1770], [0.5000, 0.0000, 0.6002], [0.5000, 0.5000, 0.7444], [0.0000, 0.5000, 0.9110], [0.0000, 0.0000, 0.4983], [0.0000, 0.0000, 0.3302]], "formation_energy_mev_per_atom": 26, "dos_ef_per_ev_atom": 0.2827, "m_tot_mub_per_atom": 0.00}



{"formula": "Cu3SnAu", "functional": "PBE", "state": "relaxed", "lattice_angstrom": [[-0.1451, 3.6293, 5.8530], [-1.8760, -5.6537, 3.4592], [6.6264, -1.5211, 1.1075]], "species": ["Cu", "Cu", "Cu", "Cu", "Cu", "Cu", "Cu", "Cu", "Cu", "Cu", "Cu", "Cu", "Sn", "Sn", "Sn", "Sn", "Au", "Au", "Au", "Au"], "frac_coords": [[0.8914, 0.3818, 0.8535], [0.3535, 0.6086, 0.6182], [0.6086, 0.6182, 0.3535], [0.8535, 0.8914, 0.3818], [0.3914, 0.1182, 0.1465], [0.6465, 0.1086, 0.8818], [0.6182, 0.3535, 0.6086], [0.8818, 0.6465, 0.1086], [0.1182, 0.1465, 0.3914], [0.3818, 0.8535, 0.8914], [0.1086, 0.8818, 0.6465], [0.1465, 0.3914, 0.1182], [0.2450, 0.2550, 0.7450], [0.2550, 0.7450, 0.2450], [0.7550, 0.7550, 0.7550], [0.7450, 0.2450, 0.2550], [0.9850, 0.5150, 0.4850], [0.4850, 0.9850, 0.5150], [0.5150, 0.4850, 0.9850], [0.0150, 0.0150, 0.0150]], "formation_energy_mev_per_atom": 91, "e_above_lowest_polymorph_mev_per_atom": 78.7, "dos_ef_per_ev_atom": 0.2962, "m_tot_mub_per_atom": 0.00}



{"formula": "CuSn3Au3", "functional": "PBE", "state": "relaxed", "lattice_angstrom": [[5.9905, 0.0000, 0.0000], [-2.9953, 8.7167, 0.0000], [0.0000, 0.0000, 11.7841]], "species": ["Au", "Au", "Au", "Au", "Au", "Au", "Au", "Au", "Au", "Au", "Au", "Au", "Sn", "Sn", "Sn", "Sn", "Sn", "Sn", "Sn", "Sn", "Sn", "Sn", "Sn", "Sn", "Cu", "Cu", "Cu", "Cu"], "frac_coords": [[0.6636, 0.0000, 0.8994], [0.8364, 0.0000, 0.3994], [0.0588, 0.6735, 0.3749], [0.4412, 0.3265, 0.8749], [0.3364, 0.0000, 0.1006], [0.8853, 0.3265, 0.1251], [0.1636, 0.0000, 0.6006], [0.1147, 0.6735, 0.8749], [0.9412, 0.3265, 0.6251], [0.5588, 0.6735, 0.1251], [0.6147, 0.6735, 0.6251], [0.3853, 0.3265, 0.3749], [0.9305, 0.3508, 0.8701], [0.9203, 0.3508, 0.3701], [0.2788, 0.0000, 0.3345], [0.4203, 0.3508, 0.1299], [0.7212, 0.0000, 0.6655], [0.0797, 0.6492, 0.6299], [0.5797, 0.6492, 0.8701], [0.5695, 0.6492, 0.3701], [0.4305, 0.3508, 0.6299], [0.2212, 0.0000, 0.8345], [0.7788, 0.0000, 0.1655], [0.0695, 0.6492, 0.1299], [0.5761, 0.1522, 0.5000], [0.0761, 0.1522, 0.0000], [0.9239, 0.8478, 0.0000], [0.4239, 0.8478, 0.5000]], "formation_energy_mev_per_atom": -99, "dos_ef_per_ev_atom": 0.4677, "m_tot_mub_per_atom": 0.00}



{"formula": "CuSn2Au2", "functional": "PBE", "state": "relaxed", "lattice_angstrom": [[4.2960, 0.0000, 0.0000], [0.0000, 4.2960, 0.0000], [2.1480, 2.1480, 6.4321]], "species": ["Au", "Au", "Sn", "Sn", "Cu"], "frac_coords": [[0.3980, 0.3980, 0.2040], [0.6020, 0.6020, 0.7960], [0.7500, 0.2500, 0.5000], [0.2500, 0.7500, 0.5000], [0.0000, 0.0000, 0.0000]], "formation_energy_mev_per_atom": 354, "e_above_lowest_polymorph_mev_per_atom": 394.2, "dos_ef_per_ev_atom": 0.5096, "m_tot_mub_per_atom": 0.00}



{"formula": "Cu3SnAu", "functional": "PBE", "state": "relaxed", "lattice_angstrom": [[-0.6115, -3.5761, 3.1051], [3.9687, -2.0954, -1.6317], [2.5844, 2.3717, 3.2403]], "species": ["Cu", "Cu", "Cu", "Sn", "Au"], "frac_coords": [[0.0000, 0.0000, 0.5000], [0.0000, 0.5000, 0.0000], [0.5000, 0.0000, 0.0000], [0.5000, 0.5000, 0.5000], [0.0000, 0.0000, 0.0000]], "formation_energy_mev_per_atom": 620, "e_above_lowest_polymorph_mev_per_atom": 607.7, "dos_ef_per_ev_atom": 0.3906, "m_tot_mub_per_atom": 0.00}



{"formula": "Cu3SnAu", "functional": "PBE", "state": "relaxed", "lattice_angstrom": [[4.8003, 0.0000, 0.0000], [0.0000, 4.8003, 0.0000], [0.0000, 0.0000, 4.8003]], "species": ["Au", "Cu", "Cu", "Cu", "Sn"], "frac_coords": [[0.5000, 0.5000, 0.5000], [0.0000, 0.0000, 0.5000], [0.0000, 0.5000, 0.0000], [0.5000, 0.0000, 0.0000], [0.0000, 0.0000, 0.0000]], "formation_energy_mev_per_atom": 861, "e_above_lowest_polymorph_mev_per_atom": 848.4, "dos_ef_per_ev_atom": 0.5064, "m_tot_mub_per_atom": 0.00}